Entry 1:
KSe PBE optimized geometry; V = 29.4 A^3/atom; symmetry = C2/m (12); uncorrected formation energy = -1.4 eV/f.u.; crystal system = monoclinic; mass density = 3.3 g/cm3; electronic total energy = -3.01 eV per atom
1.0
6.4161 -1.5274 0.0000
6.4161 1.5274 0.0000
-0.0453 0.0000 5.9918
K Se
2 2
direct
0.1207 0.1207 0.2484 K
0.8793 0.8793 0.7516 K
0.3817 0.3817 0.2521 Se
0.6183 0.6183 0.7479 Se


Entry 2:
Nd2InI3 PBE optimized geometry; V = 41.2 A^3/atom; symmetry = C2/m (12); uncorrected formation energy = -5.7 eV/f.u.; crystal system = monoclinic; mass density = 5.3 g/cm3; electronic total energy = -3.76 eV per atom
1.0
10.4704 -2.1313 0.0000
10.4704 2.1313 0.0000
-9.1732 0.0000 11.0709
Nd In I
4 2 6
direct
0.1099 0.1099 0.4300 Nd
0.3730 0.3730 0.1709 Nd
0.6270 0.6270 0.8291 Nd
0.8901 0.8901 0.5700 Nd
0.0705 0.0705 0.6229 In
0.9295 0.9295 0.3771 In
0.1779 0.1779 0.0372 I
0.2544 0.2544 0.3838 I
0.4562 0.4562 0.7821 I
0.5438 0.5438 0.2179 I
0.7456 0.7456 0.6162 I
0.8221 0.8221 0.9628 I


Entry 3:
TbMgSnIr PBE optimized geometry; V = 19.7 A^3/atom; symmetry = F-43m (216); DFT formation energy = -0.49 eV per atom; crystal system = cubic; mass density = 10.4 g/cm3; electronic total energy = -5.27 eV per atom
1.0
0.0000 3.4045 3.4045
3.4045 0.0000 3.4045
3.4045 3.4045 0.0000
Tb Mg Sn Ir
1 1 1 1
direct
0.0000 0.0000 0.0000 Tb
0.7500 0.7500 0.7500 Mg
0.5000 0.5000 0.5000 Sn
0.2500 0.2500 0.2500 Ir


Entry 4:
HfOs2Au PBE optimized geometry; V = 18.9 A^3/atom; symmetry = I-42d (122); E above lowest polymorph = 4.71 kcal/mol of atoms; DFT formation energy = 0.45 eV per atom; crystal system = tetragonal; mass density = 16.6 g/cm3; electronic total energy = -8.48 eV per atom
1.0
-1.9918 1.9918 9.5078
1.9918 -1.9918 9.5078
1.9918 1.9918 -9.5078
Hf Os Au
2 4 2
direct
0.0000 0.0000 0.0000 Hf
0.7500 0.2500 0.5000 Hf
0.1975 0.6250 0.0725 Os
0.3750 0.4475 0.5725 Os
0.5525 0.1250 0.9275 Os
0.8750 0.8025 0.4275 Os
0.2500 0.7500 0.5000 Au
0.5000 0.5000 0.0000 Au